Record 1
PBE-GGA Y3ClO, optimized geometry; raw formation energy = -0.987 eV/atom; magnetic moment = 0.00 μB per atom
1.0
4.8234 0.0000 0.0000
0.0000 4.8234 0.0000
0.0000 0.0000 4.8234
Y Cl O
3 1 1
Direct
0.0000 0.0000 0.5000
0.0000 0.5000 0.0000
0.5000 0.0000 0.0000
0.5000 0.5000 0.5000
0.0000 0.0000 0.0000

Record 2
PBE-GGA Cs2LaCl3F3, optimized geometry; raw formation energy = -2.500 eV/atom; magnetic moment = 0.12 μB per atom
1.0
8.9460 0.0000 0.0000
-4.4730 7.7475 0.0000
0.0000 0.0000 3.7086
Cs La Cl F
2 1 3 3
Direct
0.3333 0.6667 0.0000
0.6667 0.3333 0.0000
0.0000 0.0000 0.5000
0.0000 0.6411 0.5000
0.3589 0.3589 0.5000
0.6411 0.0000 0.5000
0.0000 0.1769 0.0000
0.1769 0.0000 0.0000
0.8231 0.8231 0.0000

Record 3
PBE-GGA NiRh2Au, optimized geometry; energy relative to the elements = 0.157 eV/atom; magnetic moment = 0.71 μB per atom
1.0
1.3798 0.7966 8.9300
-1.3798 0.7966 8.9300
0.0000 -1.5933 8.9300
Ni Rh Au
1 2 1
Direct
0.0000 0.0000 0.0000
0.2576 0.2576 0.2576
0.7424 0.7424 0.7424
0.5000 0.5000 0.5000

Record 4
PBE-GGA DyHfSn2, optimized geometry; energy relative to the elements = -0.375 eV/atom; magnetic moment = 0.00 μB per atom
1.0
2.3763 1.3720 5.2141
-2.3763 1.3720 5.2141
0.0000 -2.7440 5.2141
Dy Hf Sn
1 1 2
Direct
0.0000 0.0000 0.0000
0.5000 0.5000 0.5000
0.2407 0.2407 0.2407
0.7593 0.7593 0.7593

Record 5
PBE-GGA Cr2NiRh6, optimized geometry; energy relative to the elements = -0.061 eV/atom; magnetic moment = 0.22 μB per atom
1.0
4.1938 -1.9060 0.0000
4.1938 1.9060 0.0000
-2.3854 0.0000 7.6091
Cr Ni Rh
2 1 6
Direct
0.1668 0.1668 0.2182
0.8332 0.8332 0.7818
0.5000 0.5000 0.0000
0.1637 0.1637 0.8939
0.1683 0.1683 0.5558
0.4992 0.4992 0.6730
0.5008 0.5008 0.3270
0.8317 0.8317 0.4442
0.8363 0.8363 0.1061

Record 6
PBE-GGA Tl2CCl, optimized geometry; raw formation energy = 0.601 eV/atom; magnetic moment = 0.00 μB per atom
1.0
-3.1229 3.1229 5.8556
3.1229 -3.1229 5.8556
3.1229 3.1229 -5.8556
Tl C Cl
4 2 2
Direct
0.0231 0.6250 0.8981
0.3750 0.2731 0.3981
0.7269 0.1250 0.1019
0.8750 0.9769 0.6019
0.0000 0.0000 0.0000
0.7500 0.2500 0.5000
0.2500 0.7500 0.5000
0.5000 0.5000 0.0000

Record 7
PBE-GGA Zn3P5, optimized geometry; energy relative to the elements = 0.351 eV/atom; magnetic moment = 0.00 μB per atom
1.0
7.3667 0.0000 0.0000
-3.6833 6.3797 0.0000
0.0000 0.0000 6.0868
Zn P
6 10
Direct
0.0000 0.4914 0.2500
0.0000 0.5086 0.7500
0.4914 0.0000 0.2500
0.4914 0.4914 0.7500
0.5086 0.0000 0.7500
0.5086 0.5086 0.2500
0.0000 0.1665 0.7500
0.0000 0.8335 0.2500
0.1665 0.0000 0.7500
0.1665 0.1665 0.2500
0.3333 0.6667 0.0000
0.3333 0.6667 0.5000
0.6667 0.3333 0.0000
0.6667 0.3333 0.5000
0.8335 0.0000 0.2500
0.8335 0.8335 0.7500

Record 8
PBE-GGA LiPmBiAu, optimized geometry; energy relative to the elements = -0.651 eV/atom; magnetic moment = 0.00 μB per atom
1.0
0.0000 3.6779 3.6779
3.6779 0.0000 3.6779
3.6779 3.6779 0.0000
Li Pm Bi Au
1 1 1 1
Direct
0.0000 0.0000 0.0000
0.5000 0.5000 0.5000
0.7500 0.7500 0.7500
0.2500 0.2500 0.2500